{
  "formula": "LiIn6Bi2",
  "functional": "PBE",
  "state": "optimized geometry",
  "lattice_angstrom": [[7.948, -2.710, 0.000], [7.948, 2.710, 0.000], [-1.805, 0.000, 5.828]],
  "species": ["Li", "In", "In", "In", "In", "In", "In", "Bi", "Bi"],
  "frac_coords": [[0.000, 0.000, 0.000], [0.109, 0.109, 0.563], [0.227, 0.227, 0.115], [0.326, 0.326, 0.660], [0.674, 0.674, 0.340], [0.773, 0.773, 0.885], [0.891, 0.891, 0.437], [0.456, 0.456, 0.215], [0.544, 0.544, 0.785]],
  "spacegroup": "C2/m, No. 12",
  "formation_energy_mev_per_atom": -29.2,
  "total_energy_ev_per_atom": -2.930,
  "m_tot_mub_per_cell": 0.000
}

{
  "formula": "BaNaPu2S4",
  "functional": "PBE",
  "state": "optimized geometry",
  "lattice_angstrom": [[2.102, -6.862, 0.000], [2.102, 6.862, 0.000], [0.000, 0.000, 14.216]],
  "species": ["Ba", "Ba", "Na", "Na", "Pu", "Pu", "Pu", "Pu", "S", "S", "S", "S", "S", "S", "S", "S"],
  "frac_coords": [[0.121, 0.879, 0.750], [0.879, 0.121, 0.250], [0.148, 0.852, 0.250], [0.852, 0.148, 0.750], [0.371, 0.629, 0.555], [0.371, 0.629, 0.945], [0.629, 0.371, 0.055], [0.629, 0.371, 0.445], [0.000, 0.000, 0.000], [0.000, 0.000, 0.500], [0.262, 0.738, 0.107], [0.262, 0.738, 0.393], [0.456, 0.544, 0.750], [0.544, 0.456, 0.250], [0.738, 0.262, 0.607], [0.738, 0.262, 0.893]],
  "spacegroup": "Cmcm, No. 63",
  "formation_energy_uncorrected_ev_per_atom": -1.62,
  "total_energy_ev_per_atom": -7.667,
  "m_tot_mub_per_cell": 22.002
}

{
  "formula": "Na2Zn3Si",
  "functional": "PBE",
  "state": "optimized geometry",
  "lattice_angstrom": [[9.379, 0.000, 0.000], [0.000, 5.384, 0.000], [-3.084, 0.000, 4.418]],
  "species": ["Na", "Na", "Na", "Na", "Zn", "Zn", "Zn", "Zn", "Zn", "Zn", "Si", "Si"],
  "frac_coords": [[0.127, 0.000, 0.373], [0.373, 0.500, 0.627], [0.627, 0.500, 0.373], [0.873, 0.000, 0.627], [0.000, 0.500, 0.500], [0.250, 0.250, 0.000], [0.250, 0.750, 0.000], [0.500, 0.000, 0.500], [0.750, 0.250, 0.000], [0.750, 0.750, 0.000], [0.000, 0.500, 0.000], [0.500, 0.000, 0.000]],
  "spacegroup": "C2/m, No. 12",
  "formation_energy_uncorrected_ev_per_atom": 0.02,
  "total_energy_ev_per_atom": -1.957,
  "m_tot_mub_per_cell": 0.000
}

{
  "formula": "MgCuTc2",
  "functional": "PBE",
  "state": "optimized geometry",
  "lattice_angstrom": [[3.210, 0.000, 0.000], [0.000, 3.210, 0.000], [0.000, 0.000, 6.045]],
  "species": ["Mg", "Cu", "Tc", "Tc"],
  "frac_coords": [[0.000, 0.000, 0.000], [0.000, 0.000, 0.500], [0.500, 0.500, 0.307], [0.500, 0.500, 0.693]],
  "spacegroup": "P4/mmm, No. 123",
  "formation_energy_mev_per_atom": 399.2,
  "total_energy_ev_per_atom": -6.206,
  "m_tot_mub_per_cell": 0.000
}

{
  "formula": "SiSeCl2",
  "functional": "PBE",
  "state": "optimized geometry",
  "lattice_angstrom": [[3.446, 0.000, 0.000], [-1.723, 2.984, 0.000], [0.000, 0.000, 35.236]],
  "species": ["Si", "Si", "Si", "Se", "Se", "Se", "Cl", "Cl", "Cl", "Cl", "Cl", "Cl"],
  "frac_coords": [[0.000, 0.000, 0.000], [0.333, 0.667, 0.667], [0.667, 0.333, 0.333], [0.000, 0.000, 0.500], [0.333, 0.667, 0.167], [0.667, 0.333, 0.833], [0.000, 0.000, 0.380], [0.000, 0.000, 0.620], [0.333, 0.667, 0.046], [0.333, 0.667, 0.287], [0.667, 0.333, 0.713], [0.667, 0.333, 0.954]],
  "spacegroup": "R-3m, No. 166",
  "formation_energy_uncorrected_ev_per_atom": 0.11,
  "de_polymorph_mev_per_atom": 418.9,
  "total_energy_ev_per_atom": -3.038,
  "m_tot_mub_per_cell": 1.565
}

{
  "formula": "ThCdHgBi",
  "functional": "PBE",
  "state": "optimized geometry",
  "lattice_angstrom": [[4.563, 0.000, 0.000], [0.000, 4.727, 0.000], [0.000, 0.000, 5.076]],
  "species": ["Th", "Cd", "Hg", "Bi"],
  "frac_coords": [[0.000, 0.000, 0.000], [0.000, 0.500, 0.500], [0.500, 0.000, 0.500], [0.500, 0.500, 0.000]],
  "spacegroup": "Pmmm, No. 47",
  "formation_energy_mev_per_atom": -308.4,
  "de_polymorph_mev_per_atom": 0.0,
  "total_energy_ev_per_atom": -3.438,
  "m_tot_mub_per_cell": 0.000
}

Number 1: calculated density 7368 kg/m3. Number 2: calculated density 6288 kg/m3. Number 3: calculated density 4024 kg/m3. Number 4: calculated density 7568 kg/m3. Number 5: calculated density 2446 kg/m3. Number 6: calculated density 11435 kg/m3.